The following is a PBE with a Hubbard U calculation of a relaxed Li2CoSnF6 crystal, from the Alexandria database.

Structure (POSCAR):
```
Li2CoSnF6
1.0
5.423 0.000 0.000
-2.704 4.715 0.000
-0.012 -3.123 4.837
Li Co Sn F
2 1 1 6
direct
0.000 0.000 0.000 Li
0.495 0.992 0.485 Li
0.698 0.403 0.102 Co
0.217 0.437 0.651 Sn
0.107 0.530 0.302 F
0.292 0.140 0.814 F
0.419 0.203 0.303 F
0.678 0.973 0.820 F
0.783 0.888 0.305 F
0.844 0.526 0.816 F
```

The calculation puts the final energy at -4.865 eV/atom. As for the density of states at the Fermi level: 0.00 states/eV per cell. Its mass density is 4.1 g cm⁻³.